First-principles (GGA+U) data for LiVRe2F after structural relaxation, as listed in Alexandria via LeMat-Bulk.

CIF file:
```
data_LiVRe2F
_chemical_formula_sum 'Li1 V1 Re2 F1'
_cell_length_a 4.5196
_cell_length_b 4.5196
_cell_length_c 5.5725
_cell_angle_alpha 90.00
_cell_angle_beta 90.00
_cell_angle_gamma 90.00
_symmetry_space_group_name_H-M 'P 1'
_symmetry_Int_Tables_number 1
loop_
_symmetry_equiv_pos_as_xyz
'x,y,z'
loop_
_atom_site_label
_atom_site_fract_x
_atom_site_fract_y
_atom_site_fract_z
Li1 0.0000 0.0000 0.0000
V1 0.0000 0.0000 0.5000
Re1 0.0000 0.5000 0.5000
Re2 0.5000 0.0000 0.5000
F1 0.5000 0.5000 0.0000
```

## Properties
As for the calculated total energy: -0.2008 Ha/atom. The value obtained for the theoretical density is 6.554 Mg/m³. The symmetry is No. 123.